[1]
# Ho2Al5Zn12 | Alexandria | PBE-GGA | relaxed
data_Ho2Al5Zn12
_cell_length_a 6.8593
_cell_length_b 6.8593
_cell_length_c 6.8593
_cell_angle_alpha 82.78
_cell_angle_beta 82.78
_cell_angle_gamma 82.78
_space_group_name_H-M_alt 'P 1'
_space_group_IT_number 1
loop_
_space_group_symop_operation_xyz
'x,y,z'
loop_
_atom_site_label
_atom_site_type_symbol
_atom_site_fract_x
_atom_site_fract_y
_atom_site_fract_z
_atom_site_occupancy
Ho1 Ho 0.1685 0.1685 0.1685 1
Ho2 Ho 0.8315 0.8315 0.8315 1
Al1 Al 0.0000 0.5000 0.5000 1
Al2 Al 0.4012 0.4012 0.4012 1
Al3 Al 0.5000 0.0000 0.5000 1
Al4 Al 0.5000 0.5000 0.0000 1
Al5 Al 0.5988 0.5988 0.5988 1
Zn1 Zn 0.1463 0.1463 0.6637 1
Zn2 Zn 0.1463 0.6637 0.1463 1
Zn3 Zn 0.1955 0.5000 0.8045 1
Zn4 Zn 0.1955 0.8045 0.5000 1
Zn5 Zn 0.3363 0.8537 0.8537 1
Zn6 Zn 0.5000 0.1955 0.8045 1
Zn7 Zn 0.5000 0.8045 0.1955 1
Zn8 Zn 0.6637 0.1463 0.1463 1
Zn9 Zn 0.8045 0.1955 0.5000 1
Zn10 Zn 0.8045 0.5000 0.1955 1
Zn11 Zn 0.8537 0.3363 0.8537 1
Zn12 Zn 0.8537 0.8537 0.3363 1
# * ΔH_f (0 K): -0.177 eV per atom

***

[2]
# Tb3Er6Th | Alexandria | PBE-GGA | relaxed
data_Tb3Er6Th
_cell_length_a 8.9006
_cell_length_b 8.9006
_cell_length_c 8.9497
_cell_angle_alpha 90.00
_cell_angle_beta 90.00
_cell_angle_gamma 116.48
_space_group_name_H-M_alt 'P 1'
_space_group_IT_number 1
loop_
_space_group_symop_operation_xyz
'x,y,z'
loop_
_atom_site_label
_atom_site_type_symbol
_atom_site_fract_x
_atom_site_fract_y
_atom_site_fract_z
_atom_site_occupancy
Tb1 Tb 0.0507 0.9493 0.5000 1
Tb2 Tb 0.1793 0.4715 0.0119 1
Tb3 Tb 0.4715 0.1793 0.5119 1
Tb4 Tb 0.5285 0.8207 0.0119 1
Tb5 Tb 0.8207 0.5285 0.5119 1
Tb6 Tb 0.9493 0.0507 0.0000 1
Er1 Er 0.0311 0.3272 0.3532 1
Er2 Er 0.1967 0.3174 0.6835 1
Er3 Er 0.2164 0.7836 0.2433 1
Er4 Er 0.3174 0.1967 0.1835 1
Er5 Er 0.3272 0.0311 0.8532 1
Er6 Er 0.4458 0.5542 0.3717 1
Er7 Er 0.5542 0.4458 0.8717 1
Er8 Er 0.6728 0.9689 0.3532 1
Er9 Er 0.6826 0.8033 0.6835 1
Er10 Er 0.7836 0.2164 0.7433 1
Er11 Er 0.8033 0.6826 0.1835 1
Er12 Er 0.9689 0.6728 0.8532 1
Th1 Th 0.2760 0.7240 0.6064 1
Th2 Th 0.7240 0.2760 0.1064 1
# * energy above the most stable polymorph in this dataset: 0 meV/atom
# * ΔH_f (0 K): 0.151 eV per atom

***

[3]
# RbOsO4 | Alexandria | PBE-GGA | relaxed
data_RbOsO4
_cell_length_a 7.8957
_cell_length_b 8.2192
_cell_length_c 9.7763
_cell_angle_alpha 90.00
_cell_angle_beta 126.94
_cell_angle_gamma 90.00
_space_group_name_H-M_alt 'P 1'
_space_group_IT_number 1
loop_
_space_group_symop_operation_xyz
'x,y,z'
loop_
_atom_site_label
_atom_site_type_symbol
_atom_site_fract_x
_atom_site_fract_y
_atom_site_fract_z
_atom_site_occupancy
Rb1 Rb 0.1739 0.1553 0.2797 1
Rb2 Rb 0.1739 0.3447 0.7797 1
Rb3 Rb 0.8261 0.6553 0.2203 1
Rb4 Rb 0.8261 0.8447 0.7203 1
Os1 Os 0.3064 0.6666 0.1900 1
Os2 Os 0.3064 0.8334 0.6900 1
Os3 Os 0.6936 0.1666 0.3100 1
Os4 Os 0.6936 0.3334 0.8100 1
O1 O 0.1179 0.6753 0.6132 1
O2 O 0.1179 0.8247 0.1132 1
O3 O 0.2097 0.5122 0.2520 1
O4 O 0.2097 0.9878 0.7520 1
O5 O 0.3211 0.6277 0.0194 1
O6 O 0.3211 0.8723 0.5194 1
O7 O 0.4279 0.2002 0.1335 1
O8 O 0.4279 0.2998 0.6335 1
O9 O 0.5721 0.7002 0.3665 1
O10 O 0.5721 0.7998 0.8665 1
O11 O 0.6789 0.1277 0.4806 1
O12 O 0.6789 0.3723 0.9806 1
O13 O 0.7903 0.0122 0.2480 1
O14 O 0.7903 0.4878 0.7480 1
O15 O 0.8821 0.1753 0.8868 1
O16 O 0.8821 0.3247 0.3868 1
# * E_form (uncorrected): -1.28 eV per atom

***

[4]
# SmTmPS | Alexandria | PBE-GGA | relaxed
data_SmTmPS
_cell_length_a 6.9287
_cell_length_b 6.9287
_cell_length_c 6.9287
_cell_angle_alpha 33.34
_cell_angle_beta 33.34
_cell_angle_gamma 33.34
_space_group_name_H-M_alt 'P 1'
_space_group_IT_number 1
loop_
_space_group_symop_operation_xyz
'x,y,z'
loop_
_atom_site_label
_atom_site_type_symbol
_atom_site_fract_x
_atom_site_fract_y
_atom_site_fract_z
_atom_site_occupancy
Sm1 Sm 0.0000 0.0000 0.0000 1
Tm1 Tm 0.4941 0.4941 0.4941 1
P1 P 0.7510 0.7510 0.7510 1
S1 S 0.2430 0.2430 0.2430 1
# * E_form (uncorrected): -1.85 eV per atom

***

[5]
# CsGeAs3 | Alexandria | PBE-GGA | relaxed
data_CsGeAs3
_cell_length_a 5.2158
_cell_length_b 5.2158
_cell_length_c 5.2158
_cell_angle_alpha 90.00
_cell_angle_beta 90.00
_cell_angle_gamma 90.00
_space_group_name_H-M_alt 'P 1'
_space_group_IT_number 1
loop_
_space_group_symop_operation_xyz
'x,y,z'
loop_
_atom_site_label
_atom_site_type_symbol
_atom_site_fract_x
_atom_site_fract_y
_atom_site_fract_z
_atom_site_occupancy
Cs1 Cs 0.0000 0.0000 0.0000 1
Ge1 Ge 0.5000 0.5000 0.5000 1
As1 As 0.0000 0.5000 0.5000 1
As2 As 0.5000 0.0000 0.5000 1
As3 As 0.5000 0.5000 0.0000 1
# * energy above the most stable polymorph in this dataset: 602 meV/atom
# * ΔH_f (0 K): 0.379 eV per atom

***

[6]
# Li2HfTi | Alexandria | PBE-GGA | relaxed
data_Li2HfTi
_cell_length_a 4.5873
_cell_length_b 4.5873
_cell_length_c 4.5873
_cell_angle_alpha 60.00
_cell_angle_beta 60.00
_cell_angle_gamma 60.00
_space_group_name_H-M_alt 'P 1'
_space_group_IT_number 1
loop_
_space_group_symop_operation_xyz
'x,y,z'
loop_
_atom_site_label
_atom_site_type_symbol
_atom_site_fract_x
_atom_site_fract_y
_atom_site_fract_z
_atom_site_occupancy
Li1 Li 0.2500 0.2500 0.2500 1
Li2 Li 0.7500 0.7500 0.7500 1
Hf1 Hf 0.0000 0.0000 0.0000 1
Ti1 Ti 0.5000 0.5000 0.5000 1
# * energy above the most stable polymorph in this dataset: 0 meV/atom
# * ΔH_f (0 K): 0.479 eV per atom

***

[7]
# K2LiAgBr4 | Alexandria | PBE-GGA | relaxed
data_K2LiAgBr4
_cell_length_a 8.7752
_cell_length_b 8.7752
_cell_length_c 8.5890
_cell_angle_alpha 119.22
_cell_angle_beta 119.22
_cell_angle_gamma 91.45
_space_group_name_H-M_alt 'P 1'
_space_group_IT_number 1
loop_
_space_group_symop_operation_xyz
'x,y,z'
loop_
_atom_site_label
_atom_site_type_symbol
_atom_site_fract_x
_atom_site_fract_y
_atom_site_fract_z
_atom_site_occupancy
K1 K 0.0000 0.0000 0.0000 1
K2 K 0.0000 0.0000 0.5000 1
K3 K 0.0000 0.5000 0.0000 1
K4 K 0.5000 0.0000 0.5000 1
Li1 Li 0.5000 0.5000 0.0000 1
Li2 Li 0.5000 0.5000 0.5000 1
Ag1 Ag 0.0000 0.5000 0.5000 1
Ag2 Ag 0.5000 0.0000 0.0000 1
Br1 Br 0.2630 0.7361 0.5269 1
Br2 Br 0.2639 0.7370 0.9731 1
Br3 Br 0.2764 0.2885 0.5316 1
Br4 Br 0.2885 0.2764 0.0316 1
Br5 Br 0.7115 0.7236 0.9684 1
Br6 Br 0.7236 0.7115 0.4684 1
Br7 Br 0.7361 0.2630 0.0269 1
Br8 Br 0.7370 0.2639 0.4731 1
# * E_form (uncorrected): -1.29 eV per atom

***

[8]
# NiAsHRh2 | Alexandria | PBE-GGA | relaxed
data_NiAsHRh2
_cell_length_a 3.9812
_cell_length_b 3.9812
_cell_length_c 3.5983
_cell_angle_alpha 90.00
_cell_angle_beta 90.00
_cell_angle_gamma 90.00
_space_group_name_H-M_alt 'P 1'
_space_group_IT_number 1
loop_
_space_group_symop_operation_xyz
'x,y,z'
loop_
_atom_site_label
_atom_site_type_symbol
_atom_site_fract_x
_atom_site_fract_y
_atom_site_fract_z
_atom_site_occupancy
Ni1 Ni 0.0000 0.0000 0.0000 1
As1 As 0.5000 0.5000 0.0000 1
H1 H 0.0000 0.0000 0.5000 1
Rh1 Rh 0.0000 0.5000 0.5000 1
Rh2 Rh 0.5000 0.0000 0.5000 1
# * raw total energy: -5.8167 eV/atom

***

[9]
# Pu2Zn5Au4 | Alexandria | PBE-GGA | relaxed
data_Pu2Zn5Au4
_cell_length_a 9.7692
_cell_length_b 9.0253
_cell_length_c 5.4063
_cell_angle_alpha 81.01
_cell_angle_beta 65.85
_cell_angle_gamma 33.13
_space_group_name_H-M_alt 'P 1'
_space_group_IT_number 1
loop_
_space_group_symop_operation_xyz
'x,y,z'
loop_
_atom_site_label
_atom_site_type_symbol
_atom_site_fract_x
_atom_site_fract_y
_atom_site_fract_z
_atom_site_occupancy
Pu1 Pu 0.1276 0.1276 0.8724 1
Pu2 Pu 0.8724 0.8724 0.1276 1
Zn1 Zn 0.0000 0.0000 0.5000 1
Zn2 Zn 0.2500 0.2500 0.2500 1
Zn3 Zn 0.5000 0.5000 0.0000 1
Zn4 Zn 0.5000 0.5000 0.5000 1
Zn5 Zn 0.7500 0.7500 0.7500 1
Au1 Au 0.2108 0.5292 0.4708 1
Au2 Au 0.4708 0.7892 0.2108 1
Au3 Au 0.5292 0.2108 0.7892 1
Au4 Au 0.7892 0.4708 0.5292 1
# * ΔH_f (0 K): -0.291 eV per atom

***

[10]
# LiTl5Sb2 | Alexandria | PBE-GGA | relaxed
data_LiTl5Sb2
_cell_length_a 6.2774
_cell_length_b 6.2774
_cell_length_c 17.0347
_cell_angle_alpha 90.00
_cell_angle_beta 90.00
_cell_angle_gamma 135.84
_space_group_name_H-M_alt 'P 1'
_space_group_IT_number 1
loop_
_space_group_symop_operation_xyz
'x,y,z'
loop_
_atom_site_label
_atom_site_type_symbol
_atom_site_fract_x
_atom_site_fract_y
_atom_site_fract_z
_atom_site_occupancy
Li1 Li 0.2008 0.7992 0.7500 1
Li2 Li 0.7992 0.2008 0.2500 1
Tl1 Tl 0.0451 0.9549 0.6035 1
Tl2 Tl 0.0451 0.9549 0.8965 1
Tl3 Tl 0.3464 0.6536 0.5361 1
Tl4 Tl 0.3464 0.6536 0.9639 1
Tl5 Tl 0.4721 0.5279 0.7500 1
Tl6 Tl 0.5279 0.4721 0.2500 1
Tl7 Tl 0.6536 0.3464 0.0361 1
Tl8 Tl 0.6536 0.3464 0.4639 1
Tl9 Tl 0.9549 0.0451 0.1035 1
Tl10 Tl 0.9549 0.0451 0.3965 1
Sb1 Sb 0.2454 0.7546 0.1615 1
Sb2 Sb 0.2454 0.7546 0.3385 1
Sb3 Sb 0.7546 0.2454 0.6615 1
Sb4 Sb 0.7546 0.2454 0.8385 1
# * E_form (uncorrected): -0.08 eV per atom

***

Copy entry 3 word for word.
# RbOsO4 | Alexandria | PBE-GGA | relaxed
data_RbOsO4
_cell_length_a 7.8957
_cell_length_b 8.2192
_cell_length_c 9.7763
_cell_angle_alpha 90.00
_cell_angle_beta 126.94
_cell_angle_gamma 90.00
_space_group_name_H-M_alt 'P 1'
_space_group_IT_number 1
loop_
_space_group_symop_operation_xyz
'x,y,z'
loop_
_atom_site_label
_atom_site_type_symbol
_atom_site_fract_x
_atom_site_fract_y
_atom_site_fract_z
_atom_site_occupancy
Rb1 Rb 0.1739 0.1553 0.2797 1
Rb2 Rb 0.1739 0.3447 0.7797 1
Rb3 Rb 0.8261 0.6553 0.2203 1
Rb4 Rb 0.8261 0.8447 0.7203 1
Os1 Os 0.3064 0.6666 0.1900 1
Os2 Os 0.3064 0.8334 0.6900 1
Os3 Os 0.6936 0.1666 0.3100 1
Os4 Os 0.6936 0.3334 0.8100 1
O1 O 0.1179 0.6753 0.6132 1
O2 O 0.1179 0.8247 0.1132 1
O3 O 0.2097 0.5122 0.2520 1
O4 O 0.2097 0.9878 0.7520 1
O5 O 0.3211 0.6277 0.0194 1
O6 O 0.3211 0.8723 0.5194 1
O7 O 0.4279 0.2002 0.1335 1
O8 O 0.4279 0.2998 0.6335 1
O9 O 0.5721 0.7002 0.3665 1
O10 O 0.5721 0.7998 0.8665 1
O11 O 0.6789 0.1277 0.4806 1
O12 O 0.6789 0.3723 0.9806 1
O13 O 0.7903 0.0122 0.2480 1
O14 O 0.7903 0.4878 0.7480 1
O15 O 0.8821 0.1753 0.8868 1
O16 O 0.8821 0.3247 0.3868 1
# * E_form (uncorrected): -1.28 eV per atom